Crystalline NdSm2Ho5 at its relaxed geometry, computed with PBE.

Output
Total DFT energy (no corrections) = -4.619 eV/atom
Energy relative to the elements = 0.018 eV/atom
Volume = 32.2 A^3/atom
M_tot = 0.000 μB per atom
DOS(E_F) = 20.57 states/eV/cell

Unit cell a=7.142 b=14.294 c=5.040 alpha=90.00 beta=90.00 gamma=90.00
Positions (direct):
Nd1 0.000 0.000 0.000
Nd2 0.500 0.500 0.000
Sm1 0.249 0.374 0.500
Sm2 0.251 0.874 0.500
Sm3 0.749 0.126 0.500
Sm4 0.751 0.626 0.500
Ho1 0.000 0.500 0.000
Ho2 0.001 0.749 0.000
Ho3 0.250 0.126 0.500
Ho4 0.250 0.626 0.500
Ho5 0.499 0.249 0.000
Ho6 0.500 0.000 0.000
Ho7 0.501 0.751 0.000
Ho8 0.750 0.374 0.500
Ho9 0.750 0.874 0.500
Ho10 0.999 0.251 0.000



Crystalline Nd7Sm12Ho at its relaxed geometry, computed with PBE.

Output
Total DFT energy (no corrections) = -4.121 eV/atom
Energy relative to the elements = 0.608 eV/atom
Volume = 38.4 A^3/atom
M_tot = 0.000 μB per atom
DOS(E_F) = 27.97 states/eV/cell

Unit cell a=9.991 b=9.991 c=9.991 alpha=109.47 beta=109.47 gamma=109.47
Positions (direct):
Nd1 0.000 0.000 0.500
Nd2 0.000 0.500 0.000
Nd3 0.000 0.500 0.500
Nd4 0.500 0.000 0.000
Nd5 0.500 0.000 0.500
Nd6 0.500 0.500 0.000
Nd7 0.500 0.500 0.500
Sm1 0.000 0.247 0.753
Sm2 0.000 0.753 0.247
Sm3 0.247 0.000 0.753
Sm4 0.247 0.247 0.493
Sm5 0.247 0.493 0.247
Sm6 0.247 0.753 0.000
Sm7 0.493 0.247 0.247
Sm8 0.507 0.753 0.753
Sm9 0.753 0.000 0.247
Sm10 0.753 0.247 0.000
Sm11 0.753 0.507 0.753
Sm12 0.753 0.753 0.507
Ho1 0.000 0.000 0.000



Crystalline Nd2SmHo4 at its relaxed geometry, computed with PBE.

Output
Total DFT energy (no corrections) = -4.337 eV/atom
Energy relative to the elements = 0.315 eV/atom
Volume = 35.0 A^3/atom
M_tot = 0.078 μB per atom
DOS(E_F) = 24.08 states/eV/cell

Unit cell a=7.746 b=7.746 c=8.162 alpha=90.08 beta=90.08 gamma=90.00
Positions (direct):
Nd1 0.000 0.000 0.000
Nd2 0.000 0.000 0.500
Nd3 0.000 0.500 0.000
Nd4 0.500 0.000 0.000
Sm1 0.500 0.500 0.000
Sm2 0.500 0.500 0.500
Ho1 0.251 0.251 0.280
Ho2 0.251 0.251 0.720
Ho3 0.251 0.748 0.720
Ho4 0.252 0.749 0.280
Ho5 0.748 0.251 0.720
Ho6 0.749 0.252 0.280
Ho7 0.749 0.749 0.280
Ho8 0.749 0.749 0.720



Copy entry 3 word for word.
Crystalline Nd2SmHo4 at its relaxed geometry, computed with PBE.

Output
Total DFT energy (no corrections) = -4.337 eV/atom
Energy relative to the elements = 0.315 eV/atom
Volume = 35.0 A^3/atom
M_tot = 0.078 μB per atom
DOS(E_F) = 24.08 states/eV/cell

Unit cell a=7.746 b=7.746 c=8.162 alpha=90.08 beta=90.08 gamma=90.00
Positions (direct):
Nd1 0.000 0.000 0.000
Nd2 0.000 0.000 0.500
Nd3 0.000 0.500 0.000
Nd4 0.500 0.000 0.000
Sm1 0.500 0.500 0.000
Sm2 0.500 0.500 0.500
Ho1 0.251 0.251 0.280
Ho2 0.251 0.251 0.720
Ho3 0.251 0.748 0.720
Ho4 0.252 0.749 0.280
Ho5 0.748 0.251 0.720
Ho6 0.749 0.252 0.280
Ho7 0.749 0.749 0.280
Ho8 0.749 0.749 0.720



> energy relative to the elements of number 2 (Nd7Sm12Ho)?

0.608 eV/atom



> Look up the energy relative to the elements of the third one.

0.315 eV/atom